Record 1
# PrZn4Pd2

A relaxed PrZn4Pd2 crystal (PBE, Alexandria via LeMat-Bulk).

Computed properties:
The calculation puts the energy of formation from the pure elements at -51 kJ/mol of atoms. The energy relative to the lowest polymorph listed for this composition is 0.0 meV per atom.

Lattice parameters (Å, degrees): 7.6577 7.6577 4.2538 90.00 90.00 90.00
With the nearest neighbours (Å) after each atom.
Atoms (fractional coordinates):
Pr  0.0000  0.0000  0.0000  6 Pd 3.03-3.20, 4 Zn 3.31
Pr  0.5000  0.5000  0.5000  6 Pd 3.03-3.20, 4 Zn 3.31
Zn  0.0935  0.3515  0.5000  3 Pd 2.61-2.62, 6 Zn 2.69-2.85
Zn  0.1485  0.5935  0.0000  3 Pd 2.61-2.62, 6 Zn 2.69-2.85
Zn  0.3515  0.0935  0.5000  3 Pd 2.61-2.62, 6 Zn 2.69-2.85
Zn  0.4065  0.8515  0.0000  3 Pd 2.61-2.62, 6 Zn 2.69-2.85
Zn  0.5935  0.1485  0.0000  3 Pd 2.61-2.62, 6 Zn 2.69-2.85
Zn  0.6485  0.9065  0.5000  3 Pd 2.61-2.62, 6 Zn 2.69-2.85
Zn  0.8515  0.4065  0.0000  3 Pd 2.61-2.62, 6 Zn 2.69-2.85
Zn  0.9065  0.6485  0.5000  3 Pd 2.61-2.62, 6 Zn 2.69-2.85
Pd  0.2206  0.7794  0.5000  6 Zn 2.61-2.62
Pd  0.2794  0.2794  0.0000  6 Zn 2.61-2.62
Pd  0.7206  0.7206  0.0000  6 Zn 2.61-2.62
Pd  0.7794  0.2206  0.5000  6 Zn 2.61-2.62

---

Record 2
# Pr2Zn9Pd6

A relaxed Pr2Zn9Pd6 crystal (PBE, Alexandria via LeMat-Bulk).

Computed properties:
The calculation puts the energy of formation from the pure elements at -45 kJ/mol of atoms.

Lattice parameters (Å, degrees): 5.4207 5.4207 12.6526 90.00 90.00 120.00
With the nearest neighbours (Å) after each atom.
Atoms (fractional coordinates):
Pr  0.0000  0.0000  0.1660  6 Pd 3.13, 12 Zn 3.43-3.49
Pr  0.0000  0.0000  0.8340  6 Pd 3.13, 12 Zn 3.43-3.49
Zn  0.0000  0.5000  0.0000  4 Pd 2.69, 4 Zn 2.71
Zn  0.0000  0.5000  0.3395  4 Pd 2.56-2.63, 4 Zn 2.71
Zn  0.0000  0.5000  0.6605  4 Pd 2.56-2.63, 4 Zn 2.71
Zn  0.5000  0.0000  0.0000  4 Pd 2.69, 4 Zn 2.71
Zn  0.5000  0.0000  0.3395  4 Pd 2.56-2.63, 4 Zn 2.71
Zn  0.5000  0.0000  0.6605  4 Pd 2.56-2.63, 4 Zn 2.71
Zn  0.5000  0.5000  0.0000  4 Pd 2.69, 4 Zn 2.71
Zn  0.5000  0.5000  0.3395  4 Pd 2.56-2.63, 4 Zn 2.71
Zn  0.5000  0.5000  0.6605  4 Pd 2.56-2.63, 4 Zn 2.71
Pd  0.3333  0.6667  0.1726  6 Zn 2.63-2.69
Pd  0.3333  0.6667  0.5000  6 Zn 2.56
Pd  0.3333  0.6667  0.8274  6 Zn 2.63-2.69
Pd  0.6667  0.3333  0.1726  6 Zn 2.63-2.69
Pd  0.6667  0.3333  0.5000  6 Zn 2.56
Pd  0.6667  0.3333  0.8274  6 Zn 2.63-2.69

---

Record 3
# Pr2Zn2Pd5

A relaxed Pr2Zn2Pd5 crystal (PBE, Alexandria via LeMat-Bulk).

Computed properties:
The calculation puts the energy of formation from the pure elements at -63 kJ/mol of atoms.

Lattice parameters (Å, degrees): 4.2484 4.2484 9.4836 90.00 90.00 90.00
With the nearest neighbours (Å) after each atom.
Atoms (fractional coordinates):
Pr  0.0000  0.0000  0.0000  8 Zn 3.25, 8 Pd 3.36
Pr  0.0000  0.0000  0.5000  12 Pd 3.00-3.01
Zn  0.5000  0.5000  0.1311  1 Zn 2.49, 4 Pd 2.52
Zn  0.5000  0.5000  0.8689  1 Zn 2.49, 4 Pd 2.52
Pd  0.0000  0.5000  0.2750  2 Zn 2.52
Pd  0.0000  0.5000  0.7250  2 Zn 2.52
Pd  0.5000  0.0000  0.2750  2 Zn 2.52
Pd  0.5000  0.0000  0.7250  2 Zn 2.52
Pd  0.5000  0.5000  0.5000  4 Pr 3.00, 8 Pd 3.01

---

Record 4
# Pr2ZnPd2

A relaxed Pr2ZnPd2 crystal (PBE, Alexandria via LeMat-Bulk).

Computed properties:
The calculation puts the energy of formation from the pure elements at -57 kJ/mol of atoms.

Lattice parameters (Å, degrees): 7.4428 7.4428 7.4428 123.79 77.15 131.78
With the nearest neighbours (Å) after each atom.
Atoms (fractional coordinates):
Pr  0.1424  0.1750  0.3174  5 Pd 2.90-3.11, 2 Zn 3.20
Pr  0.3576  0.6750  0.0325  5 Pd 2.90-3.11, 2 Zn 3.20
Pr  0.6424  0.3250  0.9675  5 Pd 2.90-3.11, 2 Zn 3.20
Pr  0.8576  0.8250  0.6826  5 Pd 2.90-3.11, 2 Zn 3.20
Zn  0.2500  0.7500  0.5000  4 Pd 2.63
Zn  0.7500  0.2500  0.5000  4 Pd 2.63
Pd  0.1118  0.7441  0.8559  2 Zn 2.63, 1 Pr 2.90
Pd  0.3882  0.2441  0.6323  2 Zn 2.63, 1 Pr 2.90
Pd  0.6118  0.7559  0.3677  2 Zn 2.63, 1 Pr 2.90
Pd  0.8882  0.2559  0.1441  2 Zn 2.63, 1 Pr 2.90

---

Record 5
# PrZn6Pd4

A relaxed PrZn6Pd4 crystal (PBE, Alexandria via LeMat-Bulk).

Computed properties:
The calculation puts the energy of formation from the pure elements at -45 kJ/mol of atoms.

Lattice parameters (Å, degrees): 7.2850 7.2850 4.1255 90.00 90.00 120.00
With the nearest neighbours (Å) after each atom.
Atoms (fractional coordinates):
Pr  0.0000  0.0000  0.0000  6 Pd 3.27, 6 Zn 3.29
Zn  0.0732  0.5366  0.0000  5 Pd 2.56-2.65, 2 Zn 2.84
Zn  0.4071  0.2035  0.5000  4 Pd 2.55-2.63, 2 Zn 2.84
Zn  0.4634  0.5366  0.0000  5 Pd 2.56-2.65, 2 Zn 2.84
Zn  0.4634  0.9268  0.0000  5 Pd 2.56-2.65, 2 Zn 2.84
Zn  0.7965  0.2035  0.5000  4 Pd 2.55-2.63, 2 Zn 2.84
Zn  0.7965  0.5929  0.5000  4 Pd 2.55-2.63, 2 Zn 2.84
Pd  0.2010  0.4019  0.5000  6 Zn 2.55-2.65
Pd  0.2010  0.7990  0.5000  6 Zn 2.55-2.65
Pd  0.5981  0.7990  0.5000  6 Zn 2.55-2.65
Pd  0.6667  0.3333  0.0000  9 Zn 2.56-2.63

---

Record 6
# Pr3Zn2Pd

A relaxed Pr3Zn2Pd crystal (PBE, Alexandria via LeMat-Bulk).

Computed properties:
The calculation puts the energy of formation from the pure elements at -43 kJ/mol of atoms.

Lattice parameters (Å, degrees): 3.7271 3.7271 10.8820 90.00 90.00 90.00
With the nearest neighbours (Å) after each atom.
Atoms (fractional coordinates):
Pr  0.0000  0.0000  0.0000  8 Zn 3.20
Pr  0.0000  0.0000  0.3385  4 Pd 3.17, 4 Zn 3.23, 1 Pr 3.51
Pr  0.0000  0.0000  0.6615  4 Pd 3.17, 4 Zn 3.23, 1 Pr 3.51
Zn  0.5000  0.5000  0.1661  8 Pr 3.20-3.23
Zn  0.5000  0.5000  0.8339  8 Pr 3.20-3.23
Pd  0.5000  0.5000  0.5000  8 Pr 3.17

---

Record 7
# Pr2Zn3Pd

A relaxed Pr2Zn3Pd crystal (PBE, Alexandria via LeMat-Bulk).

Computed properties:
The calculation puts the energy of formation from the pure elements at -47 kJ/mol of atoms. The energy relative to the lowest polymorph listed for this composition is 3.6 meV per atom.

Lattice parameters (Å, degrees): 9.0893 8.6928 5.8779 74.39 67.09 38.52
With the nearest neighbours (Å) after each atom.
Atoms (fractional coordinates):
Pr  0.2412  0.7588  0.7588  2 Pd 3.19, 10 Zn 3.19-3.24
Pr  0.2500  0.2500  0.2500  4 Pd 3.21, 8 Zn 3.22-3.23
Pr  0.7500  0.7500  0.7500  4 Pd 3.21, 8 Zn 3.22-3.23
Pr  0.7588  0.2412  0.2412  2 Pd 3.19, 10 Zn 3.19-3.24
Zn  0.1687  0.6657  0.3343  2 Zn 2.60-2.61, 1 Pd 2.65
Zn  0.3343  0.8313  0.1687  2 Zn 2.60-2.61, 1 Pd 2.65
Zn  0.3354  0.3354  0.6646  2 Zn 2.61, 1 Pd 2.64
Zn  0.6646  0.6646  0.3354  2 Zn 2.61, 1 Pd 2.64
Zn  0.6657  0.1687  0.8313  2 Zn 2.60-2.61, 1 Pd 2.65
Zn  0.8313  0.3343  0.6657  2 Zn 2.60-2.61, 1 Pd 2.65
Pd  0.1677  0.1677  0.8323  3 Zn 2.64-2.65
Pd  0.8323  0.8323  0.1677  3 Zn 2.64-2.65

---

Record 8
# PrZn3Pd3

A relaxed PrZn3Pd3 crystal (PBE, Alexandria via LeMat-Bulk).

Computed properties:
The calculation puts the energy of formation from the pure elements at -46 kJ/mol of atoms. The energy relative to the lowest polymorph listed for this composition is 0.0 meV per atom.

Lattice parameters (Å, degrees): 7.4857 7.4857 7.4857 54.16 54.16 54.16
With the nearest neighbours (Å) after each atom.
Atoms (fractional coordinates):
Pr  0.1576  0.1576  0.1576  6 Pd 2.89-3.03, 3 Zn 3.23
Pr  0.8424  0.8424  0.8424  6 Pd 2.89-3.03, 3 Zn 3.23
Zn  0.0702  0.5845  0.2405  4 Pd 2.61-2.91, 2 Zn 2.68
Zn  0.2405  0.0702  0.5845  4 Pd 2.61-2.91, 2 Zn 2.68
Zn  0.4155  0.7595  0.9298  4 Pd 2.61-2.91, 2 Zn 2.68
Zn  0.5845  0.2405  0.0702  4 Pd 2.61-2.91, 2 Zn 2.68
Zn  0.7595  0.9298  0.4155  4 Pd 2.61-2.91, 2 Zn 2.68
Zn  0.9298  0.4155  0.7595  4 Pd 2.61-2.91, 2 Zn 2.68
Pd  0.1967  0.6688  0.4347  4 Zn 2.61-2.91, 2 Pd 2.79, 1 Pr 2.89
Pd  0.3312  0.5653  0.8033  4 Zn 2.61-2.91, 2 Pd 2.79, 1 Pr 2.89
Pd  0.4347  0.1967  0.6688  4 Zn 2.61-2.91, 2 Pd 2.79, 1 Pr 2.89
Pd  0.5653  0.8033  0.3312  4 Zn 2.61-2.91, 2 Pd 2.79, 1 Pr 2.89
Pd  0.6688  0.4347  0.1967  4 Zn 2.61-2.91, 2 Pd 2.79, 1 Pr 2.89
Pd  0.8033  0.3312  0.5653  4 Zn 2.61-2.91, 2 Pd 2.79, 1 Pr 2.89

---

Record 9
# Pr4ZnPd

A relaxed Pr4ZnPd crystal (PBE, Alexandria via LeMat-Bulk).

Computed properties:
The calculation puts the energy of formation from the pure elements at -5 kJ/mol of atoms. The energy relative to the lowest polymorph listed for this composition is 280.9 meV per atom.

Lattice parameters (Å, degrees): 8.2008 8.2008 8.2008 108.08 108.08 112.30
With the nearest neighbours (Å) after each atom.
Atoms (fractional coordinates):
Pr  0.1824  0.4857  0.6966  1 Pd 2.91, 2 Zn 2.92-3.00
Pr  0.2357  0.0391  0.8034  1 Pd 2.91, 2 Zn 2.92-3.00
Pr  0.2357  0.4324  0.1966  1 Pd 2.91, 2 Zn 2.92-3.00
Pr  0.3025  0.0000  0.3025  2 Pd 2.91-2.93, 1 Zn 3.04
Pr  0.6975  0.0000  0.6975  2 Pd 2.91-2.93, 1 Zn 3.04
Pr  0.7500  0.5525  0.8025  2 Pd 2.91-2.93, 1 Zn 3.04
Pr  0.7500  0.9475  0.1975  2 Pd 2.91-2.93, 1 Zn 3.04
Pr  0.7891  0.4857  0.3034  1 Pd 2.91, 2 Zn 2.92-3.00
Zn  0.2403  0.7403  0.5000  6 Pr 2.92-3.04
Zn  0.4903  0.4903  0.0000  6 Pr 2.92-3.04
Pd  0.7433  0.2433  0.5000  6 Pr 2.91-2.93
Pd  0.9933  0.9933  0.0000  6 Pr 2.91-2.93

---

Record 10
# Pr12ZnPd6

A relaxed Pr12ZnPd6 crystal (PBE, Alexandria via LeMat-Bulk).

Computed properties:
The calculation puts the energy of formation from the pure elements at -34 kJ/mol of atoms.

Lattice parameters (Å, degrees): 8.6466 8.6466 8.6466 100.69 100.69 100.69
With the nearest neighbours (Å) after each atom.
Atoms (fractional coordinates):
Pr  0.0567  0.9188  0.6747  1 Zn 2.92, 2 Pd 2.93-2.94
Pr  0.0812  0.3253  0.9433  1 Zn 2.92, 2 Pd 2.93-2.94
Pr  0.1776  0.5731  0.4121  4 Pd 2.93-3.09
Pr  0.3253  0.9433  0.0812  1 Zn 2.92, 2 Pd 2.93-2.94
Pr  0.4121  0.1776  0.5731  4 Pd 2.93-3.09
Pr  0.4269  0.5879  0.8224  4 Pd 2.93-3.09
Pr  0.5731  0.4121  0.1776  4 Pd 2.93-3.09
Pr  0.5879  0.8224  0.4269  4 Pd 2.93-3.09
Pr  0.6747  0.0567  0.9188  1 Zn 2.92, 2 Pd 2.93-2.94
Pr  0.8224  0.4269  0.5879  4 Pd 2.93-3.09
Pr  0.9188  0.6747  0.0567  1 Zn 2.92, 2 Pd 2.93-2.94
Pr  0.9433  0.0812  0.3253  1 Zn 2.92, 2 Pd 2.93-2.94
Zn  0.0000  0.0000  0.0000  6 Pr 2.92
Pd  0.1362  0.3184  0.6171  6 Pr 2.93-3.09
Pd  0.3184  0.6171  0.1362  6 Pr 2.93-3.09
Pd  0.3829  0.8638  0.6816  6 Pr 2.93-3.09
Pd  0.6171  0.1362  0.3184  6 Pr 2.93-3.09
Pd  0.6816  0.3829  0.8638  6 Pr 2.93-3.09
Pd  0.8638  0.6816  0.3829  6 Pr 2.93-3.09

---

Q: Which of these has the highest energy of formation from the pure elements?
A: Pr4ZnPd

---

Q: energy of formation from the pure elements of number 6 (Pr3Zn2Pd)?
A: -43 kJ/mol of atoms